Here is KWF6 after structural relaxation from the Alexandria database. Energies are from PBE with a Hubbard U.

```
KWF6
1.0
9.1513 0.0000 0.0000
0.0000 6.8622 0.0000
-2.5441 0.0000 5.2218
K W F
2 2 12
direct
0.0000 0.0000 0.0000 K
0.5000 0.5000 0.0000 K
0.0000 0.5000 0.5000 W
0.5000 0.0000 0.5000 W
0.0607 0.2964 0.7577 F
0.0607 0.7036 0.7577 F
0.2250 0.5000 0.5560 F
0.2750 0.0000 0.4440 F
0.4393 0.2036 0.2423 F
0.4393 0.7964 0.2423 F
0.5607 0.2036 0.7577 F
0.5607 0.7964 0.7577 F
0.7250 0.0000 0.5560 F
0.7750 0.5000 0.4440 F
0.9393 0.2964 0.2423 F
0.9393 0.7036 0.2423 F
```

Output
**Space-group type**: C2/m, No. 12
**Polymorph energy (0 for the lowest one)**: 0.00 eV/f.u.
**Size of the total moment**: 1.0 μB/f.u.
**DOS at the Fermi energy**: 0.00 states/eV per cell
**Calculated volume**: 20.50 A^3/atom